No. 1
VASP calculation (PBE) on a relaxed structure of NdPd2Au.

Computed properties:
As for the relative energy among the computed polymorphs: 0 meV/atom. The formation energy from the elements comes out at -0.72 eV/atom.

a = 4.329 Å, b = 4.329 Å, c = 4.137 Å
α = 90.00°, β = 90.00°, γ = 90.00°
Space group P4/mmm (No. 123)
Symmetry-distinct sites (fractional):
Nd1 0.000 0.000 0.000
Pd1 0.000 0.500 0.500
Au1 0.500 0.500 0.000

***

No. 2
VASP calculation (PBE) on a relaxed structure of PuInBr4.

Computed properties:
As for the relative energy among the computed polymorphs: 22 meV/atom.

a = 9.992 Å, b = 9.992 Å, c = 9.538 Å
α = 90.00°, β = 90.00°, γ = 90.00°
Space group I4_1md (No. 109)
Symmetry-distinct sites (fractional):
Pu1 0.000 0.000 0.000
In1 0.000 0.000 0.520
Br1 0.000 0.188 0.781
Br2 0.000 0.203 0.225

***

No. 3
VASP calculation (PBE) on a relaxed structure of YPaGaHg.

Computed properties:
The formation energy from the elements comes out at -0.16 eV/atom.

a = 7.329 Å, b = 7.329 Å, c = 7.329 Å
α = 90.00°, β = 90.00°, γ = 90.00°
Space group F-43m (No. 216)
Symmetry-distinct sites (fractional):
Y1 0.000 0.000 0.000
Pa1 0.000 0.000 0.500
Ga1 0.250 0.250 0.250
Hg1 0.250 0.250 0.750

***

No. 4
VASP calculation (PBE) on a relaxed structure of CaScHg4.

Computed properties:
As for the relative energy among the computed polymorphs: 1 meV/atom. The formation energy from the elements comes out at -0.33 eV/atom.

a = 10.542 Å, b = 3.788 Å, c = 7.756 Å
α = 90.00°, β = 111.25°, γ = 90.00°
Space group C2/m (No. 12)
Symmetry-distinct sites (fractional):
Ca1 0.000 0.000 0.000
Sc1 0.000 0.000 0.500
Hg1 0.164 0.500 0.346
Hg2 0.168 0.500 0.817

***

No. 5
VASP calculation (PBE) on a relaxed structure of CdTcO2.

Computed properties:
The total energy is -24.9 eV per formula unit.

a = 2.8198 Å, b = 2.8198 Å, c = 22.6366 Å
α = 90.00°, β = 90.00°, γ = 120.00°
Space group R-3m (No. 166, hexagonal axes)
Symmetry-distinct sites (fractional):
Cd1 0.0000 0.0000 0.0000
Tc1 0.0000 0.0000 0.5000
O1 0.0000 0.0000 0.1099

***

No. 6
VASP calculation (PBE) on a relaxed structure of LaInRh2.

Computed properties:
The formation energy from the elements comes out at -0.28 eV/atom.

a = 7.304 Å, b = 7.304 Å, c = 6.475 Å
α = 90.00°, β = 90.00°, γ = 90.00°
Space group I-42d (No. 122)
Symmetry-distinct sites (fractional):
La1 0.000 0.000 0.000
In1 0.000 0.000 0.500
Rh1 0.242 0.250 0.625

***

No. 7
VASP calculation (PBE) on a relaxed structure of TbHo2Zn4.

Computed properties:
The formation energy from the elements comes out at -0.16 eV/atom.

a = 5.133 Å, b = 5.133 Å, c = 12.441 Å
α = 90.00°, β = 90.00°, γ = 90.00°
Space group I4/mmm (No. 139)
Symmetry-distinct sites (fractional):
Tb1 0.000 0.000 0.000
Ho1 0.000 0.000 0.275
Zn1 0.000 0.500 0.111

***

No. 8
VASP calculation (PBE) on a relaxed structure of BaHgF2.

Computed properties:
As for the relative energy among the computed polymorphs: 93 meV/atom.

a = 7.577 Å, b = 7.577 Å, c = 12.243 Å
α = 90.00°, β = 90.00°, γ = 90.00°
Space group I-42d (No. 122)
Symmetry-distinct sites (fractional):
Ba1 0.000 0.000 0.000
Hg1 0.000 0.000 0.500
F1 0.059 0.250 0.125

***

No. 9
VASP calculation (PBE) on a relaxed structure of PrNd4As5.

Computed properties:
The formation energy from the elements comes out at -1.51 eV/atom.

a = 4.284 Å, b = 6.048 Å, c = 21.393 Å
α = 90.00°, β = 90.00°, γ = 90.00°
Space group Immm (No. 71)
Symmetry-distinct sites (fractional):
Pr1 0.000 0.000 0.000
Nd1 0.000 0.000 0.200
Nd2 0.000 0.000 0.400
As1 0.000 0.500 0.000
As2 0.000 0.500 0.200
As3 0.000 0.500 0.399

***

No. 10
VASP calculation (PBE) on a relaxed structure of Ac3Al2BiO9.

Computed properties:
The total energy is -110.3 eV per formula unit.

a = 5.6544 Å, b = 5.6544 Å, c = 7.5470 Å
α = 90.00°, β = 90.00°, γ = 120.00°
Space group P-3m1 (No. 164)
Symmetry-distinct sites (fractional):
Ac1 0.0000 0.0000 0.0000
Ac2 0.3333 0.6667 0.7269
Al1 0.3333 0.6667 0.1629
Bi1 0.0000 0.0000 0.5000
O1 0.0000 0.5000 0.0000
O2 0.1720 0.3441 0.2897

***

No. 11
VASP calculation (PBE) on a relaxed structure of LiCeDy2S5.

Computed properties:
The total energy is -54.0 eV per formula unit.

a = 3.915 Å, b = 16.319 Å, c = 11.884 Å
α = 90.00°, β = 90.00°, γ = 90.00°
Space group Cmc2_1 (No. 36)
Symmetry-distinct sites (fractional):
Li1 0.000 0.012 0.000
Ce1 0.000 0.303 0.518
Dy1 0.000 0.378 0.811
Dy2 0.000 0.390 0.203
S1 0.000 0.001 0.804
S2 0.000 0.135 0.521
S3 0.000 0.190 0.852
S4 0.000 0.209 0.186
S5 0.000 0.457 0.595

***

No. 12
VASP calculation (PBE) on a relaxed structure of Ce2TiTc.

Computed properties:
The formation energy from the elements comes out at 0.33 eV/atom.

a = 3.0543 Å, b = 3.0543 Å, c = 30.3146 Å
α = 90.00°, β = 90.00°, γ = 120.00°
Space group R-3m (No. 166, hexagonal axes)
Symmetry-distinct sites (fractional):
Ce1 0.0000 0.0000 0.0905
Ti1 0.0000 0.0000 0.0000
Tc1 0.0000 0.0000 0.5000

***

D(E_F) (computed, states/eV/f.u.): 1.4, 12.9, 7.1, 3.0, 2.2, 0.9, 4.6, 0.0, 1.6, 0.0, 5.9, 8.7